The following is a DFT calculation (PBE-GGA) of crystalline Ba4Sr3Hg2 at its relaxed geometry.

Cell: 20.245 4.461 11.018 Å, 90.00 113.73 90.00°
Space group C2/m (No. 12)
Asymmetric unit:
Ba 0.132 0.000 0.393 (multiplicity 4)
Ba 0.233 0.500 0.158 (multiplicity 4)
Sr 0.000 0.500 0.000 (multiplicity 2)
Sr 0.070 0.500 0.692 (multiplicity 4)
Hg 0.110 0.000 0.938 (multiplicity 4)

## Properties
formation energy: -210 meV per atom
size of the total moment: 0.000 μB/f.u.
total DFT energy (no corrections): -1.6926 eV per atom
DOS at the Fermi energy: 27.3 states/eV/cell

---

The following is a DFT calculation (PBE-GGA) of crystalline Ba2SrHg at its relaxed geometry.

Cell: 8.791 8.791 8.791 Å, 90.00 90.00 90.00°
Space group F-43m (No. 216)
Asymmetric unit:
Ba 0.000 0.000 0.000 (multiplicity 4)
Ba 0.250 0.250 0.250 (multiplicity 4)
Sr 0.250 0.250 0.750 (multiplicity 4)
Hg 0.000 0.000 0.500 (multiplicity 4)

## Properties
formation energy: -64 meV per atom
size of the total moment: 0.000 μB/f.u.
total DFT energy (no corrections): -1.5208 eV per atom
DOS at the Fermi energy: 13.9 states/eV/cell

---

The following is a DFT calculation (PBE-GGA) of crystalline Ba3SrHg7 at its relaxed geometry.

Cell: 4.406 23.391 15.102 Å, 90.00 90.00 90.00°
Space group Cmcm (No. 63)
Asymmetric unit:
Ba 0.000 0.119 0.045 (multiplicity 8)
Ba 0.000 0.232 0.750 (multiplicity 4)
Sr 0.000 0.021 0.750 (multiplicity 4)
Hg 0.000 0.270 0.059 (multiplicity 8)
Hg 0.000 0.382 0.151 (multiplicity 8)
Hg 0.000 0.389 0.750 (multiplicity 4)
Hg 0.000 0.495 0.594 (multiplicity 8)

## Properties
formation energy: -442 meV per atom
size of the total moment: 0.000 μB/f.u.
total DFT energy (no corrections): -1.3116 eV per atom
DOS at the Fermi energy: 35.5 states/eV/cell

---

The following is a DFT calculation (PBE-GGA) of crystalline Ba3Sr7Hg4 at its relaxed geometry.

Cell: 22.294 4.325 14.844 Å, 90.00 119.31 90.00°
Space group C2/m (No. 12)
Asymmetric unit:
Ba 0.000 0.000 0.000 (multiplicity 2)
Ba 0.200 0.500 0.692 (multiplicity 4)
Sr 0.000 0.000 0.500 (multiplicity 2)
Sr 0.016 0.500 0.755 (multiplicity 4)
Sr 0.158 0.000 0.405 (multiplicity 4)
Sr 0.181 0.500 0.027 (multiplicity 4)
Hg 0.135 0.500 0.214 (multiplicity 4)
Hg 0.144 0.000 0.826 (multiplicity 4)

## Properties
formation energy: -287 meV per atom
size of the total moment: 0.000 μB/f.u.
total DFT energy (no corrections): -1.6263 eV per atom
DOS at the Fermi energy: 32.5 states/eV/cell

---

The following is a DFT calculation (PBE-GGA) of crystalline BaSrHg6 at its relaxed geometry.

Cell: 5.448 7.175 6.069 Å, 90.00 90.00 90.00°
Space group Pmm2 (No. 25)
Asymmetric unit:
Ba 0.000 0.000 0.000 (multiplicity 1)
Sr 0.500 0.500 0.281 (multiplicity 1)
Hg 0.000 0.265 0.487 (multiplicity 2)
Hg 0.000 0.500 0.951 (multiplicity 1)
Hg 0.500 0.000 0.372 (multiplicity 1)
Hg 0.500 0.265 0.794 (multiplicity 2)

## Properties
formation energy: -417 meV per atom
size of the total moment: 0.000 μB/f.u.
total DFT energy (no corrections): -1.0935 eV per atom
polymorph energy (0 for the lowest one): 0.0048 eV per atom
DOS at the Fermi energy: 5.2 states/eV/cell

---

The following is a DFT calculation (PBE-GGA) of crystalline Ba4Sr5Hg2 at its relaxed geometry.

Cell: 10.186 4.341 13.061 Å, 90.00 98.84 90.00°
Space group P2/m (No. 10)
Asymmetric unit:
Ba 0.175 0.000 0.426 (multiplicity 2)
Ba 0.178 0.000 0.834 (multiplicity 2)
Sr 0.167 0.500 0.130 (multiplicity 2)
Sr 0.454 0.500 0.666 (multiplicity 2)
Sr 0.500 0.500 0.000 (multiplicity 1)
Hg 0.105 0.500 0.629 (multiplicity 2)

## Properties
formation energy: -147 meV per atom
size of the total moment: 0.000 μB/f.u.
total DFT energy (no corrections): -1.6655 eV per atom
DOS at the Fermi energy: 13.0 states/eV/cell

---

The following is a DFT calculation (PBE-GGA) of crystalline Ba4SrHg5 at its relaxed geometry.

Cell: 4.167 4.167 20.892 Å, 90.00 90.00 90.00°
Space group P4/mmm (No. 123)
Asymmetric unit:
Ba 0.000 0.000 0.102 (multiplicity 2)
Ba 0.000 0.000 0.306 (multiplicity 2)
Sr 0.000 0.000 0.500 (multiplicity 1)
Hg 0.500 0.500 0.000 (multiplicity 1)
Hg 0.500 0.500 0.203 (multiplicity 2)
Hg 0.500 0.500 0.408 (multiplicity 2)

## Properties
formation energy: -523 meV per atom
size of the total moment: 0.000 μB/f.u.
total DFT energy (no corrections): -1.6113 eV per atom
DOS at the Fermi energy: 7.8 states/eV/cell

---

The following is a DFT calculation (PBE-GGA) of crystalline BaSrHg at its relaxed geometry.

Cell: 13.610 15.642 10.578 Å, 90.00 90.00 90.00°
Space group Fdd2 (No. 43)
Asymmetric unit:
Ba 0.114 0.344 0.000 (multiplicity 16)
Sr 0.036 0.370 0.603 (multiplicity 16)
Hg 0.060 0.279 0.312 (multiplicity 16)

## Properties
formation energy: -311 meV per atom
size of the total moment: 0.000 μB/f.u.
total DFT energy (no corrections): -1.6129 eV per atom
polymorph energy (0 for the lowest one): 0.0626 eV per atom
DOS at the Fermi energy: 60.4 states/eV/cell

---

The following is a DFT calculation (PBE-GGA) of crystalline BaSr2Hg at its relaxed geometry.

Cell: 14.756 4.277 6.358 Å, 90.00 115.49 90.00°
Space group Cm (No. 8)
Asymmetric unit:
Ba 0.000 0.000 0.000 (multiplicity 2)
Sr 0.106 0.500 0.606 (multiplicity 2)
Sr 0.303 0.500 0.303 (multiplicity 2)
Hg 0.297 0.000 0.809 (multiplicity 2)

## Properties
formation energy: -210 meV per atom
size of the total moment: 0.001 μB/f.u.
total DFT energy (no corrections): -1.6069 eV per atom
DOS at the Fermi energy: 11.2 states/eV/cell

---

The following is a DFT calculation (PBE-GGA) of crystalline Ba4SrHg at its relaxed geometry.

Cell: 11.275 15.943 7.671 Å, 90.00 107.28 90.00°
Space group C2/c (No. 15)
Asymmetric unit:
Ba 0.108 0.167 0.052 (multiplicity 8)
Ba 0.235 0.402 0.378 (multiplicity 8)
Sr 0.000 0.393 0.750 (multiplicity 4)
Hg 0.000 0.001 0.750 (multiplicity 4)

## Properties
formation energy: -124 meV per atom
size of the total moment: 0.000 μB/f.u.
total DFT energy (no corrections): -1.7368 eV per atom
polymorph energy (0 for the lowest one): 0.0437 eV per atom
DOS at the Fermi energy: 35.6 states/eV/cell

---

The following is a DFT calculation (PBE-GGA) of crystalline BaSr2Hg at its relaxed geometry.

Cell: 5.884 5.884 21.011 Å, 90.00 90.00 90.00°
Space group I4/mmm (No. 139)
Asymmetric unit:
Ba 0.000 0.000 0.154 (multiplicity 4)
Sr 0.000 0.000 0.341 (multiplicity 4)
Sr 0.000 0.500 0.000 (multiplicity 4)
Hg 0.000 0.500 0.250 (multiplicity 4)

## Properties
formation energy: -278 meV per atom
size of the total moment: 0.000 μB/f.u.
total DFT energy (no corrections): -1.6755 eV per atom
DOS at the Fermi energy: 15.1 states/eV/cell

---

The following is a DFT calculation (PBE-GGA) of crystalline BaSr2Hg10 at its relaxed geometry.

Cell: 9.646 15.534 6.122 Å, 90.00 90.00 90.00°
Space group Pbam (No. 55)
Asymmetric unit:
Ba 0.000 0.000 0.000 (multiplicity 2)
Sr 0.008 0.345 0.500 (multiplicity 4)
Hg 0.062 0.765 0.000 (multiplicity 4)
Hg 0.124 0.557 0.000 (multiplicity 4)
Hg 0.184 0.173 0.266 (multiplicity 8)
Hg 0.188 0.371 0.000 (multiplicity 4)

## Properties
formation energy: -222 meV per atom
size of the total moment: 0.000 μB/f.u.
total DFT energy (no corrections): -0.8607 eV per atom
DOS at the Fermi energy: 12.2 states/eV/cell